Below is Pm2Sn3Bi after structural relaxation, with properties calculated at the GGA-PBE level.

a = 19.2510 Å, b = 4.2626 Å, c = 11.5554 Å
α = 90.00°, β = 123.69°, γ = 90.00°
Last column: nearest neighbours and their distance in Å.
Space group C2/m (No. 12)
Unique sites:
Pm (0.0042, 0.0000, 0.1566) x4  4 Bi 3.24-3.48, 4 Sn 3.36-3.38, 1 Pm 3.53
Pm (0.2395, 0.5000, 0.7301) x4  2 Bi 3.19, 6 Sn 3.24-3.44
Sn (0.0601, 0.5000, 0.4207) x4  6 Sn 3.08-3.27, 3 Pm 3.32-3.37
Sn (0.0783, 0.0000, 0.6503) x4  5 Sn 3.09-3.27, 3 Pm 3.38-3.44
Sn (0.1888, 0.0000, 0.4660) x4  4 Sn 2.94-3.08, 1 Pm 3.24
Bi (0.1179, 0.5000, 0.0827) x4  6 Pm 3.19-3.48

Uncorrected energy, eV/cell: -111.89
Energy above the most stable polymorph in this dataset, eV per formula unit: 0.00